VASP calculation (GGA-PBE) on Pr2TiS5 after structural relaxation.

CIF file:
```
data_Pr2TiS5
_symmetry_space_group_name_H-M 'P 1'
_symmetry_Int_Tables_number 1
_cell_length_a 5.227
_cell_length_b 7.367
_cell_length_c 12.754
_cell_angle_alpha 90.00
_cell_angle_beta 90.00
_cell_angle_gamma 110.78
loop_
_symmetry_equiv_pos_as_xyz
'x,y,z'
loop_
_atom_site_label
_atom_site_type_symbol
_atom_site_fract_x
_atom_site_fract_y
_atom_site_fract_z
_atom_site_occupancy
S1 S 0.292 0.584 0.098 1
S2 S 0.292 0.584 0.402 1
S3 S 0.951 0.901 0.625 1
S4 S 0.716 0.433 0.250 1
S5 S 0.951 0.901 0.875 1
S6 S 0.708 0.416 0.902 1
S7 S 0.708 0.416 0.598 1
S8 S 0.049 0.099 0.375 1
S9 S 0.284 0.567 0.750 1
S10 S 0.049 0.099 0.125 1
Ti1 Ti 0.828 0.656 0.750 1
Ti2 Ti 0.172 0.344 0.250 1
Pr1 Pr 0.851 0.703 0.069 1
Pr2 Pr 0.149 0.297 0.931 1
Pr3 Pr 0.851 0.703 0.431 1
Pr4 Pr 0.149 0.297 0.569 1
```

Output
Its space-group type is Cmcm, No. 63. As for the total energy: -101.9 eV per cell. The crystal system is orthorhombic. Its energy above the lowest structure with this stoichiometry is 0.142 eV/atom. The calculated volume comes out at 28.70 Å³ per atom.